1.
{
  "formula": "Ga2CoPAu",
  "functional": "PBE-GGA",
  "state": "optimized geometry",
  "lattice": [[4.7470, 0.0000, 0.0000], [0.0000, 4.7212, 0.0000], [0.0000, 0.0000, 4.7470]],
  "species": ["P", "Ga", "Ga", "Au", "Co"],
  "frac_coords": [[0.0000, 0.0000, 0.0000], [0.5000, 0.0000, 0.0000], [0.0000, 0.0000, 0.5000], [0.0000, 0.5000, 0.0000], [0.5000, 0.5000, 0.5000]],
  "dos_ef_per_ev_fu": 7.9,
  "total_magnetization_mub_per_fu": 1.904,
  "delta_e_f_ev_per_fu": 4.01,
  "crystal_system": "tetragonal"
}

=====

2.
{
  "formula": "GaCoAuS2",
  "functional": "PBE-GGA",
  "state": "optimized geometry",
  "lattice": [[4.4293, 0.0000, 0.0000], [0.0000, 4.6324, 0.0000], [0.0000, 0.0000, 4.4293]],
  "species": ["Co", "Ga", "S", "S", "Au"],
  "frac_coords": [[0.0000, 0.0000, 0.0000], [0.0000, 0.5000, 0.0000], [0.5000, 0.0000, 0.0000], [0.0000, 0.0000, 0.5000], [0.5000, 0.5000, 0.5000]],
  "dos_ef_per_ev_fu": 4.4,
  "total_magnetization_mub_per_fu": 0.862,
  "crystal_system": "tetragonal",
  "e_form_raw_ev_per_fu": 1.80
}

=====

3.
{
  "formula": "Sc2GaCoAu",
  "functional": "PBE-GGA",
  "state": "optimized geometry",
  "lattice": [[4.6097, 0.0000, 0.0000], [0.0000, 4.8553, 0.0000], [0.0000, 0.0000, 4.6097]],
  "species": ["Ga", "Sc", "Sc", "Au", "Co"],
  "frac_coords": [[0.5000, 0.5000, 0.5000], [0.5000, 0.0000, 0.0000], [0.0000, 0.0000, 0.5000], [0.0000, 0.5000, 0.0000], [0.0000, 0.0000, 0.0000]],
  "dos_ef_per_ev_fu": 3.1,
  "total_magnetization_mub_per_fu": 0.000,
  "delta_e_f_ev_per_fu": -0.39,
  "crystal_system": "tetragonal"
}

=====

4.
{
  "formula": "SrGa2CoAu",
  "functional": "PBE-GGA",
  "state": "optimized geometry",
  "lattice": [[-4.2766, -1.3532, 0.7766], [1.4141, -4.3193, 0.2609], [0.7489, 0.5525, 5.0865]],
  "species": ["Au", "Sr", "Co", "Ga", "Ga"],
  "frac_coords": [[0.0000, 0.0000, 0.5000], [0.5000, 0.5000, 0.5000], [0.0000, 0.0000, 0.0000], [0.0000, 0.5000, 0.0000], [0.5000, 0.0000, 0.0000]],
  "dos_ef_per_ev_fu": 1.9,
  "total_magnetization_mub_per_fu": 0.000,
  "delta_e_f_ev_per_fu": -1.80,
  "crystal_system": "tetragonal"
}

=====

5.
{
  "formula": "TaGa2CoAu",
  "functional": "PBE-GGA",
  "state": "optimized geometry",
  "lattice": [[-0.0437, 4.4262, 0.3182], [-4.5982, -0.0551, 0.1354], [0.1341, -0.3167, 4.4245]],
  "species": ["Ta", "Co", "Ga", "Ga", "Au"],
  "frac_coords": [[0.0000, 0.5000, 0.0000], [0.0000, 0.0000, 0.0000], [0.0000, 0.0000, 0.5000], [0.5000, 0.0000, 0.0000], [0.5000, 0.5000, 0.5000]],
  "dos_ef_per_ev_fu": 3.0,
  "total_magnetization_mub_per_fu": 0.000,
  "delta_e_f_ev_per_fu": 1.12,
  "crystal_system": "tetragonal"
}

=====

6.
{
  "formula": "TbGa3CoAu",
  "functional": "PBE-GGA",
  "state": "optimized geometry",
  "lattice": [[-1.6384, -5.3390, -1.5462], [2.4237, 0.8543, -5.5181], [4.1779, -2.6664, 4.7797]],
  "species": ["Co", "Co", "Au", "Au", "Tb", "Tb", "Ga", "Ga", "Ga", "Ga", "Ga", "Ga"],
  "frac_coords": [[0.2500, 0.9397, 0.8795], [0.7500, 0.0603, 0.1205], [0.7500, 0.6591, 0.3182], [0.2500, 0.3409, 0.6818], [0.2500, 0.7325, 0.4650], [0.7500, 0.2675, 0.5350], [0.7500, 0.8650, 0.7300], [0.5000, 0.2911, 0.0000], [0.0000, 0.7089, 0.0000], [0.2500, 0.1350, 0.2700], [0.5000, 0.7089, 0.0000], [0.0000, 0.2911, 0.0000]],
  "dos_ef_per_ev_fu": 2.7,
  "total_magnetization_mub_per_fu": 0.000,
  "delta_e_f_ev_per_fu": -1.91,
  "crystal_system": "orthorhombic"
}